1.
# LaHg3Te

An optimized crystal structure of LaHg3Te (PBE-GGA, Alexandria).

## Properties
ΔE to the lowest computed polymorph (meV/atom): 74
DOS(E_F) (states/eV per atom): 0.797
E_form (uncorrected) (meV/atom): 357

Cell: 6.0251 6.0251 6.0251 Å, 90.00 90.00 90.00°
Sites, in units of the cell vectors:
Hg (0.0000, 0.5000, 0.0000)
La (0.0000, 0.0000, 0.0000)
Hg (0.5000, 0.0000, 0.0000)
Hg (0.0000, 0.0000, 0.5000)
Te (0.5000, 0.5000, 0.5000)

2.
# PmEuIrRh

An optimized crystal structure of PmEuIrRh (PBE-GGA, Alexandria).

## Properties
DOS(E_F) (states/eV per atom): 2.767
ΔH_f (0 K) (eV/atom): -0.4623

Cell: 4.9679 4.9679 4.9679 Å, 60.00 60.00 60.00°
Sites, in units of the cell vectors:
Ir (0.0000, 0.0000, 0.0000)
Eu (0.2500, 0.2500, 0.2500)
Rh (0.5000, 0.5000, 0.5000)
Pm (0.7500, 0.7500, 0.7500)

3.
# NpTcP2Pt

An optimized crystal structure of NpTcP2Pt (PBE-GGA, Alexandria).

## Properties
DOS(E_F) (states/eV per atom): 2.026
ΔH_f (0 K) (eV/atom): -0.5979

Cell: 3.9914 3.9914 5.8337 Å, 110.00 110.00 90.00°
Sites, in units of the cell vectors:
Np (0.0000, 0.0000, 0.0000)
Tc (0.7500, 0.2500, 0.5000)
P (0.3846, 0.3846, 0.7692)
Pt (0.2500, 0.7500, 0.5000)
P (0.6154, 0.6154, 0.2308)

4.
# HoHfAg2

An optimized crystal structure of HoHfAg2 (PBE-GGA, Alexandria).

## Properties
ΔE to the lowest computed polymorph (meV/atom): 37
DOS(E_F) (states/eV per atom): 1.255
ΔH_f (0 K) (eV/atom): -0.0395

Cell: 4.9693 4.9693 4.9693 Å, 60.00 60.00 60.00°
Sites, in units of the cell vectors:
Hf (0.5000, 0.5000, 0.5000)
Ag (0.2500, 0.2500, 0.2500)
Ag (0.7500, 0.7500, 0.7500)
Ho (0.0000, 0.0000, 0.0000)

5.
# Li2PmGa

An optimized crystal structure of Li2PmGa (PBE-GGA, Alexandria).

## Properties
ΔE to the lowest computed polymorph (meV/atom): 200
DOS(E_F) (states/eV per atom): 0.587
ΔH_f (0 K) (eV/atom): -0.0750

Cell: 3.5542 3.5542 6.6813 Å, 90.00 90.00 90.00°
Sites, in units of the cell vectors:
Li (0.0000, 0.0000, 0.1901)
Pm (0.5000, 0.5000, 0.5000)
Ga (0.5000, 0.5000, 0.0000)
Li (0.0000, 0.0000, 0.8099)

6.
# TlGeSbTe2

An optimized crystal structure of TlGeSbTe2 (PBE-GGA, Alexandria).

## Properties
ΔE to the lowest computed polymorph (meV/atom): 0
DOS(E_F) (states/eV per atom): 0.900
E_form (uncorrected) (meV/atom): 286

Cell: 5.5490 5.5490 5.4213 Å, 90.00 90.00 90.00°
Sites, in units of the cell vectors:
Te (0.5000, 0.0000, 0.0000)
Ge (0.0000, 0.0000, 0.0000)
Te (0.0000, 0.5000, 0.0000)
Sb (0.0000, 0.0000, 0.5000)
Tl (0.5000, 0.5000, 0.5000)

- Which value of DOS(E_F) does entry 3 give?
  2.026 states/eV per atom

- The highest DOS(E_F) belongs to which entry?
  PmEuIrRh

Please write out number 4 again, unchanged.
# HoHfAg2

An optimized crystal structure of HoHfAg2 (PBE-GGA, Alexandria).

## Properties
ΔE to the lowest computed polymorph (meV/atom): 37
DOS(E_F) (states/eV per atom): 1.255
ΔH_f (0 K) (eV/atom): -0.0395

Cell: 4.9693 4.9693 4.9693 Å, 60.00 60.00 60.00°
Sites, in units of the cell vectors:
Hf (0.5000, 0.5000, 0.5000)
Ag (0.2500, 0.2500, 0.2500)
Ag (0.7500, 0.7500, 0.7500)
Ho (0.0000, 0.0000, 0.0000)